Record 1
Below is crystalline La8OsPb2 at its relaxed geometry, with properties calculated at the PBE level.

Geometry as extended XYZ:
```
11
Lattice="9.6261 -2.7955 0.0000 9.6261 2.7955 0.0000 -2.4019 0.0000 6.6295" Properties=species:S:1:pos:R:3 pbc="T T T"
La -0.4508 0.0000 1.4840
La 3.8326 0.0000 0.9266
La 5.2534 0.0000 4.4771
La 7.3587 0.0000 1.6447
La 9.4914 0.0000 4.9847
La 11.5968 0.0000 2.1523
La 13.0176 0.0000 5.7028
La 17.3010 0.0000 5.1455
Os 9.6261 0.0000 0.0000
Pb 1.7643 0.0000 4.1708
Pb 15.0858 0.0000 2.4587
```

Properties
Spin magnetization = 0.0 μB per formula unit
D(E_F) = 13.8 states/eV/f.u.
Space-group type = No. 12
E = -61.2 eV/cell



Record 2
Below is crystalline La4OsPb at its relaxed geometry, with properties calculated at the PBE level.

Geometry as extended XYZ:
```
6
Lattice="0.0000 4.4307 4.4307 4.4307 0.0000 4.4307 4.4307 4.4307 0.0000" Properties=species:S:1:pos:R:3 pbc="T T T"
La 1.0972 1.0972 1.0972
La 3.3335 3.3335 1.0972
La 3.3335 1.0972 3.3335
La 1.0972 3.3335 3.3335
Os 6.6460 6.6460 6.6460
Pb 4.4307 4.4307 4.4307
```

Properties
Spin magnetization = 0.0 μB per formula unit
D(E_F) = 9.3 states/eV/f.u.
Space-group type = No. 216
Excess energy over the best structure of this formula in the dataset = 0.981 eV/atom



Record 3
Below is crystalline La3OsPb at its relaxed geometry, with properties calculated at the PBE level.

Geometry as extended XYZ:
```
10
Lattice="5.0949 0.0000 0.0000 0.0000 8.2362 0.0000 -2.5340 0.0000 7.6602" Properties=species:S:1:pos:R:3 pbc="T T T"
La 0.0078 2.0591 0.7258
La 0.0050 4.2031 5.2683
La 0.0050 8.1512 5.2683
La 2.5559 0.0850 2.3919
La 2.5559 4.0331 2.3919
La 2.5531 6.1772 6.9344
Os 0.0068 2.0591 3.5284
Os 2.5541 6.1772 4.1318
Pb 0.0086 6.1772 2.5224
Pb 2.5523 2.0591 5.1378
```

Properties
Spin magnetization = 0.0 μB per formula unit
D(E_F) = 4.6 states/eV/f.u.
Space-group type = No. 11
Excess energy over the best structure of this formula in the dataset = 0.220 eV/atom



Record 4
Below is crystalline La3OsPb at its relaxed geometry, with properties calculated at the PBE level.

Geometry as extended XYZ:
```
20
Lattice="7.6204 -5.9141 0.0000 7.6204 5.9141 0.0000 -2.8712 0.0000 7.3813" Properties=species:S:1:pos:R:3 pbc="T T T"
La 1.4704 0.6348 1.2846
La 4.1864 2.6786 3.2723
La 0.0348 -0.6348 4.9752
La 2.4910 1.3566 7.0448
La 9.6187 2.6786 0.4184
La 3.9266 -1.3566 3.3542
La 8.4430 1.3566 4.0271
La 2.7509 -2.6786 6.9629
La 9.8786 -1.3566 0.3364
La 12.3348 0.6348 2.4060
La 8.1831 -2.6786 4.1090
La 10.8992 -0.6348 6.0967
Os 2.2168 0.8544 4.1823
Os 3.6524 -0.8544 0.4917
Os 8.7172 0.8544 6.8896
Os 10.1528 -0.8544 3.1990
Pb 6.9026 3.9467 1.8453
Pb 5.4670 0.5953 5.5360
Pb 6.9026 -0.5953 1.8453
Pb 5.4670 -3.9467 5.5360
```

Properties
Spin magnetization = 0.0 μB per formula unit
D(E_F) = 2.7 states/eV/f.u.
Space-group type = No. 15
Excess energy over the best structure of this formula in the dataset = 0.116 eV/atom



Record 5
Below is crystalline La3OsPb at its relaxed geometry, with properties calculated at the PBE level.

Geometry as extended XYZ:
```
10
Lattice="3.8167 -8.2433 0.0000 3.8167 8.2433 0.0000 0.0000 0.0000 5.2535" Properties=species:S:1:pos:R:3 pbc="T T T"
La 0.0000 0.0000 0.0000
La 0.0000 0.0000 2.6267
La 2.1577 2.2792 3.9401
La 2.1577 -2.2792 1.3134
La 5.4757 2.2792 3.9401
La 5.4757 -2.2792 1.3134
Os 3.8167 0.0654 1.3134
Os 3.8167 -0.0654 3.9401
Pb 3.8167 5.1605 3.9401
Pb 3.8167 -5.1605 1.3134
```

Properties
Spin magnetization = 0.0 μB per formula unit
D(E_F) = 3.7 states/eV/f.u.
Space-group type = No. 63
Excess energy over the best structure of this formula in the dataset = 0.628 eV/atom



Record 6
Below is crystalline La3OsPb at its relaxed geometry, with properties calculated at the PBE level.

Geometry as extended XYZ:
```
10
Lattice="3.7356 2.1567 6.9729 -3.7356 2.1567 6.9729 0.0000 -4.3135 6.9729" Properties=species:S:1:pos:R:3 pbc="T T T"
La 0.0000 -2.1393 5.3224
La -1.8526 1.0696 5.3224
La -1.8526 -1.0696 15.5964
La 1.8527 1.0696 5.3224
La 1.8526 -1.0696 15.5964
La 0.0000 2.1393 15.5964
Os 0.0000 0.0000 3.5325
Os 0.0000 0.0000 17.3862
Pb 0.0000 0.0000 8.2005
Pb 0.0000 0.0000 12.7182
```

Properties
Spin magnetization = 0.0 μB per formula unit
D(E_F) = 3.5 states/eV/f.u.
Space-group type = No. 166
Excess energy over the best structure of this formula in the dataset = 0.193 eV/atom



Record 7
Below is crystalline La3OsPb at its relaxed geometry, with properties calculated at the PBE level.

Geometry as extended XYZ:
```
10
Lattice="8.3834 0.0000 0.0000 0.0000 4.8083 0.0000 -4.0665 0.0000 7.8620" Properties=species:S:1:pos:R:3 pbc="T T T"
La 0.0000 0.0000 0.0000
La -2.5743 2.4041 5.6117
La 0.1183 0.0000 4.5113
La 2.1358 2.4041 2.3192
La 1.5450 2.4041 6.7056
La 5.6603 0.0000 2.1817
Os -0.6457 2.4041 3.4509
Os 7.1441 2.4041 0.9869
Pb -0.8299 0.0000 7.7406
Pb 3.4229 0.0000 4.6320
```

Properties
Spin magnetization = 0.0 μB per formula unit
D(E_F) = 4.1 states/eV/f.u.
Space-group type = No. 6
Excess energy over the best structure of this formula in the dataset = 0.050 eV/atom



Record 8
Below is crystalline La2OsPb at its relaxed geometry, with properties calculated at the PBE level.

Geometry as extended XYZ:
```
4
Lattice="5.0523 0.0000 0.0000 0.0000 5.0523 0.0000 0.0000 0.0000 4.1737" Properties=species:S:1:pos:R:3 pbc="T T T"
La 0.0000 2.5261 0.0000
La 2.5261 0.0000 0.0000
Os 0.0000 0.0000 2.0869
Pb 2.5261 2.5261 2.0869
```

Properties
Spin magnetization = 0.0 μB per formula unit
D(E_F) = 2.8 states/eV/f.u.
Space-group type = No. 123
E = -25.0 eV/cell



Record 9
Below is crystalline La3OsPb at its relaxed geometry, with properties calculated at the PBE level.

Geometry as extended XYZ:
```
10
Lattice="5.3792 0.0000 0.0000 -0.6447 7.6302 0.0000 -1.1322 -3.0149 7.6619" Properties=species:S:1:pos:R:3 pbc="T T T"
La 0.0000 0.0000 0.0000
La -0.3223 3.8151 0.0000
La -0.0768 0.8682 3.5009
La 1.5325 -1.4557 5.6517
La 2.0698 6.0711 2.0101
La 3.6792 3.7472 4.1610
Os -0.5323 5.8370 2.4928
Os 4.1347 -1.2216 5.1690
Pb 1.0309 2.6798 6.1941
Pb 2.5714 1.9356 1.4678
```

Properties
Spin magnetization = 0.0 μB per formula unit
D(E_F) = 4.1 states/eV/f.u.
Space-group type = No. 2
Excess energy over the best structure of this formula in the dataset = 0.081 eV/atom



Record 10
Below is crystalline La3OsPb at its relaxed geometry, with properties calculated at the PBE level.

Geometry as extended XYZ:
```
15
Lattice="8.7366 0.0000 0.0000 -4.3683 7.5661 0.0000 0.0000 0.0000 11.8974" Properties=species:S:1:pos:R:3 pbc="T T T"
La -2.1239 3.8178 0.0000
La 0.0000 2.4525 3.9658
La -2.2444 6.3399 3.9658
La 2.2444 1.2958 7.9316
La 2.1239 3.8178 0.0000
La 0.0000 7.4966 0.0000
La 2.2444 6.3399 3.9658
La 6.4923 1.2958 7.9316
La 4.3683 4.9746 7.9316
Os 0.0000 0.0000 3.1117
Os 0.0000 5.0441 11.0433
Os 4.3683 2.5220 7.0775
Pb 0.0000 0.0000 6.0444
Pb 0.0000 5.0441 2.0787
Pb 4.3683 2.5220 10.0102
```

Properties
Spin magnetization = 0.0 μB per formula unit
D(E_F) = 5.2 states/eV/f.u.
Space-group type = No. 160
Excess energy over the best structure of this formula in the dataset = 0.853 eV/atom



Record 11
Below is crystalline La2OsPb at its relaxed geometry, with properties calculated at the PBE level.

Geometry as extended XYZ:
```
4
Lattice="3.4870 0.0000 0.0000 0.0000 3.4870 0.0000 0.0000 0.0000 9.2800" Properties=species:S:1:pos:R:3 pbc="T T T"
La 0.0000 0.0000 0.0000
La 1.7435 1.7435 3.5015
Os 0.0000 0.0000 5.3107
Pb 1.7435 1.7435 6.8956
```

Properties
Spin magnetization = 0.0 μB per formula unit
D(E_F) = 3.8 states/eV/f.u.
Space-group type = No. 99
E = -24.1 eV/cell



Record 12
Below is crystalline La2OsPb at its relaxed geometry, with properties calculated at the PBE level.

Geometry as extended XYZ:
```
16
Lattice="8.3774 0.0000 0.0000 0.0000 8.3774 0.0000 0.0000 0.0000 6.6551" Properties=species:S:1:pos:R:3 pbc="T T T"
La 1.5479 2.0944 0.8319
La 2.0944 5.7366 2.4957
La 2.0944 6.8295 5.8232
La 2.6408 2.0944 4.1595
La 5.7366 6.2831 4.1595
La 6.2831 1.5479 5.8232
La 6.2831 2.6408 2.4957
La 6.8295 6.2831 0.8319
Os 0.0000 0.0000 0.0000
Os 0.0000 4.1887 1.6638
Os 4.1887 0.0000 4.9914
Os 4.1887 4.1887 3.3276
Pb 0.0000 0.0000 3.3276
Pb 0.0000 4.1887 4.9914
Pb 4.1887 0.0000 1.6638
Pb 4.1887 4.1887 0.0000
```

Properties
Spin magnetization = 0.0 μB per formula unit
D(E_F) = 1.6 states/eV/f.u.
Space-group type = No. 122
E = -99.7 eV/cell